[1]
Density functional theory data (PBE) for an optimized crystal structure of FeP2Ru.

Cell lengths 2.9435, 2.9435, 21.3098 Å; angles 90.00, 90.00, 120.00 degrees
Space group R3m (No. 160, hexagonal axes)
One atom of each set of equivalent atoms:
Fe1 0.0000 0.0000 0.0000 [3 per cell]
P1 0.0000 0.0000 0.4915 [3 per cell]
P2 0.0000 0.0000 0.7344 [3 per cell]
Ru1 0.0000 0.0000 0.2314 [3 per cell]

Summary:
* ΔE to the lowest computed polymorph: 312 meV/atom


[2]
Density functional theory data (PBE) for an optimized crystal structure of FeP2Ru.

Cell lengths 2.8249, 4.9815, 7.3712 Å; angles 90.00, 90.00, 90.00 degrees
Space group Immm (No. 71)
One atom of each set of equivalent atoms:
Fe1 0.0000 0.0000 0.0000 [2 per cell]
P1 0.0000 0.5000 0.2627 [4 per cell]
Ru1 0.0000 0.0000 0.5000 [2 per cell]

Summary:
* ΔE to the lowest computed polymorph: 493 meV/atom


[3]
Density functional theory data (PBE) for an optimized crystal structure of FeP2Ru.

Cell lengths 3.0652, 3.2695, 10.1104 Å; angles 90.00, 90.00, 90.00 degrees
Space group Imm2 (No. 44)
One atom of each set of equivalent atoms:
Fe1 0.0000 0.0000 0.0000 [2 per cell]
P1 0.0000 0.0000 0.4228 [2 per cell]
P2 0.0000 0.5000 0.6581 [2 per cell]
Ru1 0.0000 0.5000 0.2511 [2 per cell]

Summary:
* ΔE to the lowest computed polymorph: 64 meV/atom


[4]
Density functional theory data (PBE) for an optimized crystal structure of FeP6Ru.

Cell lengths 11.1622, 7.9048, 7.9267 Å; angles 90.00, 134.74, 90.00 degrees
Space group C2/m (No. 12)
One atom of each set of equivalent atoms:
Fe1 0.2500 0.2500 0.0000 [4 per cell]
P1 0.0088 0.1431 0.8636 [8 per cell]
P2 0.1393 0.5000 0.2786 [4 per cell]
P3 0.1430 0.3544 0.6507 [8 per cell]
P4 0.1515 0.5000 0.0051 [4 per cell]
Ru1 0.2500 0.2500 0.5000 [4 per cell]


[5]
Density functional theory data (PBE) for an optimized crystal structure of FeP2Ru.

Cell lengths 2.8163, 3.7248, 5.0377 Å; angles 90.00, 90.00, 90.00 degrees
Space group Pmmm (No. 47)
One atom of each set of equivalent atoms:
Fe1 0.0000 0.0000 0.0000 [1 per cell]
P1 0.0000 0.5000 0.5000 [1 per cell]
P2 0.5000 0.5000 0.0000 [1 per cell]
Ru1 0.5000 0.0000 0.5000 [1 per cell]

Summary:
* ΔE to the lowest computed polymorph: 520 meV/atom


[6]
Density functional theory data (PBE) for an optimized crystal structure of FePRu.

Cell lengths 3.5722, 3.5722, 5.6650 Å; angles 90.00, 90.00, 90.00 degrees
Space group P4/nmm (No. 129, origin choice 2)
One atom of each set of equivalent atoms:
Fe1 0.2500 0.7500 0.0000 [2 per cell]
P1 0.2500 0.2500 0.2403 [2 per cell]
Ru1 0.2500 0.2500 0.6406 [2 per cell]


[7]
Density functional theory data (PBE) for an optimized crystal structure of FePRu.

Cell lengths 2.9618, 4.6984, 11.2492 Å; angles 90.00, 90.00, 90.00 degrees
Space group Fmm2 (No. 42)
One atom of each set of equivalent atoms:
Fe1 0.0000 0.0000 0.0000 [4 per cell]
P1 0.0000 0.0000 0.3525 [4 per cell]
Ru1 0.0000 0.0000 0.6969 [4 per cell]


[8]
Density functional theory data (PBE) for an optimized crystal structure of FeP2Ru.

Cell lengths 5.9461, 5.9461, 5.9461 Å; angles 90.00, 90.00, 90.00 degrees
Space group F-43m (No. 216)
One atom of each set of equivalent atoms:
Fe1 0.0000 0.0000 0.0000 [4 per cell]
P1 0.0000 0.0000 0.5000 [4 per cell]
P2 0.2500 0.2500 0.7500 [4 per cell]
Ru1 0.2500 0.2500 0.2500 [4 per cell]

Summary:
* ΔE to the lowest computed polymorph: 742 meV/atom


[9]
Density functional theory data (PBE) for an optimized crystal structure of FeP2Ru.

Cell lengths 3.1234, 3.1234, 5.1126 Å; angles 90.00, 90.00, 90.00 degrees
Space group P4mm (No. 99)
One atom of each set of equivalent atoms:
Fe1 0.0000 0.0000 0.0000 [1 per cell]
P1 0.0000 0.0000 0.4442 [1 per cell]
P2 0.5000 0.5000 0.1242 [1 per cell]
Ru1 0.5000 0.5000 0.6222 [1 per cell]

Summary:
* ΔE to the lowest computed polymorph: 94 meV/atom


[10]
Density functional theory data (PBE) for an optimized crystal structure of FeP2Ru.

Cell lengths 2.8960, 2.8960, 5.6848 Å; angles 90.00, 90.00, 90.00 degrees
Space group P4/mmm (No. 123)
One atom of each set of equivalent atoms:
Fe1 0.0000 0.0000 0.0000 [1 per cell]
P1 0.5000 0.5000 0.2330 [2 per cell]
Ru1 0.0000 0.0000 0.5000 [1 per cell]

Summary:
* ΔE to the lowest computed polymorph: 185 meV/atom


[11]
Density functional theory data (PBE) for an optimized crystal structure of FeP2Ru.

Cell lengths 7.2021, 2.8517, 4.8422 Å; angles 90.00, 102.26, 90.00 degrees
Space group C2/m (No. 12)
One atom of each set of equivalent atoms:
Fe1 0.0000 0.0000 0.0000 [2 per cell]
P1 0.2475 0.5000 0.2285 [4 per cell]
Ru1 0.0000 0.5000 0.5000 [2 per cell]

Summary:
* ΔE to the lowest computed polymorph: 155 meV/atom


[12]
Density functional theory data (PBE) for an optimized crystal structure of FeP2Ru.

Cell lengths 2.8149, 5.0469, 7.3434 Å; angles 90.00, 90.00, 90.00 degrees
Space group Cmmm (No. 65)
One atom of each set of equivalent atoms:
Fe1 0.0000 0.0000 0.0000 [2 per cell]
P1 0.0000 0.5000 0.2387 [4 per cell]
Ru1 0.0000 0.0000 0.5000 [2 per cell]

Summary:
* ΔE to the lowest computed polymorph: 502 meV/atom


no.,energy of formation (meV/atom),E_tot (eV per atom)
1,-68.3,-7.208
2,113.1,-7.027
3,-315.9,-7.455
4,-349.6,-6.624
5,140.4,-6.999
6,-436.1,-8.152
7,170.3,-7.546
8,362.2,-6.777
9,-285.5,-7.425
10,-194.4,-7.334
11,-225.2,-7.365
12,122.5,-7.017